(1)
# TlZn2Cr

TlZn2Cr after structural relaxation (PBE, the Alexandria database).

Structure (POSCAR):
```
TlZn2Cr
1.0
-0.9343 -4.1791 -1.8729
2.0809 0.5331 -2.2276
3.4128 -2.2204 3.2518
Zn Tl Cr
2 1 1
Cartesian
2.0522 0.4064 -1.9307
2.7755 -0.7170 0.2152
3.6531 -3.3550 -0.1683
0.9063 -2.5113 -0.6804
```

Density of states at the Fermi level (states/eV/cell): 1.83
Energy above the most stable polymorph in this dataset (meV per atom): 70
DFT total energy (eV/atom): -3.243



(2)
# MoPdN2

MoPdN2 after structural relaxation (PBE, the Alexandria database).

Structure (POSCAR):
```
MoPdN2
1.0
0.0000 2.7314 2.7314
2.7314 0.0000 2.7314
2.7314 2.7314 0.0000
Pd Mo N
1 1 2
Cartesian
2.7314 2.7314 2.7314
0.0000 0.0000 0.0000
1.3657 1.3657 1.3657
4.0970 4.0970 4.0970
```

Formation energy (no corrections) (meV per atom): 926
Density of states at the Fermi level (states/eV/cell): 3.44
Energy above the most stable polymorph in this dataset (meV per atom): 888
DFT total energy (eV/atom): -7.243



(3)
# ZrNb2Ru2

ZrNb2Ru2 after structural relaxation (PBE, the Alexandria database).

Structure (POSCAR):
```
ZrNb2Ru2
1.0
-5.1401 -4.4390 -3.3282
4.4759 -0.6368 -6.0632
1.3413 -2.4917 1.2518
Ru Zr Nb
4 2 4
Cartesian
1.9952 -2.1735 -6.4639
0.9443 -0.8299 -2.6637
-1.6086 -4.2459 -6.7277
-2.6594 -2.9023 -2.9275
0.0000 0.0000 0.0000
-0.3321 -2.5379 -4.6957
2.8000 -2.3937 -3.9404
-0.3280 -2.8440 -1.4851
-2.1230 -5.1738 -4.1992
1.0051 -4.7235 -6.6545
```

Density of states at the Fermi level (states/eV/cell): 12.62
Energy above the most stable polymorph in this dataset (meV per atom): 0
DFT total energy (eV/atom): -9.575



(4)
# BaScOs3

BaScOs3 after structural relaxation (PBE, the Alexandria database).

Structure (POSCAR):
```
BaScOs3
1.0
-0.8796 1.6824 4.5960
-3.5341 -3.4489 0.5861
3.3859 -3.1627 1.8057
Ba Sc Os
1 1 3
Cartesian
0.0000 0.0000 0.0000
-0.5139 -2.4646 3.4939
1.6930 -1.5813 0.9029
-0.4398 0.8412 2.2980
-1.7670 -1.7244 0.2930
```

Density of states at the Fermi level (states/eV/cell): 6.91
Energy above the most stable polymorph in this dataset (meV per atom): 1320
DFT total energy (eV/atom): -5.339